The following is a DFT calculation (GGA-PBE) of a relaxed structure of ZrPa5P6.

**Energy of formation**: -128.87 kJ/mol of atoms
**M_tot**: 0.0 μB/cell
**Crystal system**: monoclinic

Structure (POSCAR):
```
ZrPa5P6
1.0
3.408 -5.902 0.000
3.408 5.902 0.000
-2.278 0.000 6.414
Zr Pa P
1 5 6
direct
0.000 0.000 0.000
0.168 0.832 0.500
0.334 0.666 0.000
0.500 0.500 0.500
0.666 0.334 0.000
0.832 0.168 0.500
0.081 0.406 0.244
0.243 0.243 0.753
0.406 0.081 0.244
0.594 0.919 0.756
0.757 0.757 0.247
0.919 0.594 0.756
```